Record 1
The following is a DFT calculation (SCAN) of a crystal of Li4Nb2V3Sn3O16 relaxed with PBEsol.

Formation energy without anion corrections, eV per atom: -2.23
N(E_F), states/eV/cell: 4.2

Cell: 10.7805 6.0216 9.5440 Å, 90.00 93.37 90.00°
Last column: nearest neighbours and their distance in Å.
Space group Cm (No. 8)
Unique sites:
1 Li 0.0000 0.0000 0.0000 x2  3 O 1.79-1.96
2 Li 0.0141 0.0000 0.5220 x2  4 O 1.81-2.02
3 Li 0.1604 0.5000 0.4113 x2  4 O 1.98-2.08
4 Li 0.3105 0.0000 0.9102 x2  4 O 1.89-1.94
5 Nb 0.1437 0.5000 0.9736 x2  5 O 2.07-2.22
6 Nb 0.3223 0.0000 0.5154 x2  3 O 1.86-1.98
7 V 0.0781 0.2997 0.7478 x4  5 O 1.93-2.15
8 V 0.1609 0.0000 0.2254 x2  6 O 1.98-2.05
9 Sn 0.3348 0.5000 0.7277 x2  6 O 2.05-2.16
10 Sn 0.4107 0.2478 0.2248 x4  6 O 2.06-2.13
11 O 0.0031 0.0000 0.3323 x2  1 Li 1.81
12 O 0.0134 0.0000 0.8142 x2  1 Li 1.79
13 O 0.0762 0.2396 0.1146 x4  1 Li 1.96, 1 V 1.98, 1 Sn 2.12
14 O 0.1562 0.5000 0.6223 x2  2 V 1.93, 1 Li 2.02, 1 Sn 2.12
15 O 0.1770 0.0000 0.6113 x2  1 Nb 1.86, 1 Li 1.91
16 O 0.2360 0.2742 0.8541 x4  1 Li 1.90, 1 V 1.94, 1 Nb 2.07
17 O 0.2577 0.2183 0.3545 x4  1 V 2.05, 1 Li 2.08, 1 Nb 2.11, 1 Sn 2.13
18 O 0.3175 0.0000 0.1136 x2  1 Li 1.94, 1 V 2.05, 2 Sn 2.06
19 O 0.3332 0.5000 0.1014 x2  2 Sn 2.07, 1 Li 2.09
20 O 0.4189 0.2477 0.6037 x4  1 Nb 1.98, 1 Li 2.02, 1 V 2.15, 1 Sn 2.16
21 O 0.4760 0.0000 0.8550 x2  1 Li 1.89, 2 V 1.96, 1 Nb 2.08
22 O 0.4800 0.0000 0.3588 x2  1 Li 1.98, 2 Sn 2.08


Record 2
The following is a DFT calculation (SCAN) of a crystal of Mo relaxed with PBEsol.

E above lowest polymorph, eV per formula unit: 0.000
Formation enthalpy at 0 K, eV per atom: 0.000
N(E_F), states/eV/cell: 1.0

Cell: 3.1252 3.1252 3.1252 Å, 90.00 90.00 90.00°
Last column: nearest neighbours and their distance in Å.
Space group Im-3m (No. 229)
Unique sites:
1 Mo 0.0000 0.0000 0.0000 x2  8 Mo 2.71


Record 3
The following is a DFT calculation (SCAN) of a crystal of NbRh2I relaxed with PBEsol.

Formation energy without anion corrections, eV per atom: 0.50
N(E_F), states/eV/cell: 26.1

Cell: 6.4981 6.4981 6.4981 Å, 90.00 90.00 90.00°
Last column: nearest neighbours and their distance in Å.
Space group Fm-3m (No. 225)
Unique sites:
1 Nb 0.0000 0.0000 0.0000 x4  8 Rh 2.81
2 Rh 0.2500 0.2500 0.2500 x8  4 Nb 2.81, 4 I 2.81
3 I 0.0000 0.0000 0.5000 x4  8 Rh 2.81


Record 4
The following is a DFT calculation (SCAN) of a crystal of TlInAg2 relaxed with PBEsol.

Formation enthalpy at 0 K, eV per atom: 0.120
N(E_F), states/eV/cell: 3.4

Cell: 3.2196 3.2196 27.6413 Å, 90.00 90.00 120.00°
Last column: nearest neighbours and their distance in Å.
Space group R-3m (No. 166, hexagonal axes)
Unique sites:
1 Tl 0.0000 0.0000 0.0000 x3  6 Ag 3.02, 6 Tl 3.22
2 In 0.0000 0.0000 0.5000 x3  6 Ag 2.90, 6 In 3.22
3 Ag 0.0000 0.0000 0.2471 x6  3 In 2.90, 3 Tl 3.02, 6 Ag 3.22


Record 5
The following is a DFT calculation (SCAN) of a crystal of Cd3PtC relaxed with PBEsol.

Formation enthalpy at 0 K, eV per atom: 0.653
N(E_F), states/eV/cell: 1.3

Cell: 4.4192 4.4192 4.4192 Å, 90.00 90.00 90.00°
Last column: nearest neighbours and their distance in Å.
Space group Pm-3m (No. 221)
Unique sites:
1 Cd 0.0000 0.0000 0.5000 x3  2 C 2.21
2 Pt 0.5000 0.5000 0.5000 x1  12 Cd 3.12
3 C 0.0000 0.0000 0.0000 x1  6 Cd 2.21


Record 6
The following is a DFT calculation (SCAN) of a crystal of RuCl3 relaxed with PBEsol.

Formation energy without anion corrections, eV per atom: -0.68
N(E_F), states/eV/cell: 12.7

Cell: 5.8764 5.8764 17.4724 Å, 90.00 90.00 120.00°
Last column: nearest neighbours and their distance in Å.
Space group P3_112 (No. 151)
Unique sites:
1 Ru 0.1107 0.2214 0.1667 x3  6 Cl 2.33-2.34
2 Ru 0.4452 0.2226 0.5000 x3  6 Cl 2.34
3 Cl 0.0972 0.2090 0.9094 x6  2 Ru 2.34
4 Cl 0.0970 0.5412 0.2428 x6  2 Ru 2.34
5 Cl 0.4441 0.2088 0.7573 x6  2 Ru 2.33-2.34


Record 7
The following is a DFT calculation (SCAN) of a crystal of LaFe2TcPd relaxed with PBEsol.

Formation enthalpy at 0 K, eV per atom: 1.888
N(E_F), states/eV/cell: 4.5

Cell: 4.3914 4.3914 4.6386 Å, 90.00 90.00 90.00°
Last column: nearest neighbours and their distance in Å.
Space group P4/mmm (No. 123)
Unique sites:
1 La 0.0000 0.0000 0.0000 x1  4 Fe 2.20, 2 Tc 2.32
2 Fe 0.0000 0.5000 0.0000 x2  2 La 2.20
3 Tc 0.0000 0.0000 0.5000 x1  2 La 2.32
4 Pd 0.5000 0.5000 0.5000 x1  4 Tc 3.11, 8 Fe 3.19


Record 8
The following is a DFT calculation (SCAN) of a crystal of FeCo4 relaxed with PBEsol.

E above lowest polymorph, eV per formula unit: 0.039
Formation enthalpy at 0 K, eV per atom: -0.076
N(E_F), states/eV/cell: 7.1

Cell: 6.2276 6.2276 2.7500 Å, 90.00 90.00 90.00°
Last column: nearest neighbours and their distance in Å.
Space group I4/m (No. 87)
Unique sites:
1 Fe 0.0000 0.0000 0.0000 x2  8 Co 2.37
2 Co 0.0964 0.2955 0.5000 x8  2 Fe 2.37, 6 Co 2.42


Record 9
The following is a DFT calculation (SCAN) of a crystal of BaCaAg2 relaxed with PBEsol.

E above lowest polymorph, eV per formula unit: 0.214
Formation enthalpy at 0 K, eV per atom: -0.218
N(E_F), states/eV/cell: 5.2

Cell: 5.4305 5.4394 7.6855 Å, 90.00 90.00 90.00°
Last column: nearest neighbours and their distance in Å.
Space group Immm (No. 71)
Unique sites:
1 Ba 0.0000 0.0000 0.0000 x2  8 Ag 3.33
2 Ca 0.0000 0.0000 0.5000 x2  8 Ag 3.32-3.33
3 Ag 0.0000 0.5000 0.2492 x4  4 Ca 3.32-3.33, 4 Ba 3.33


Record 10
The following is a DFT calculation (SCAN) of a crystal of BeTcIr2 relaxed with PBEsol.

Formation enthalpy at 0 K, eV per atom: -0.220
N(E_F), states/eV/cell: 2.9

Cell: 2.7112 3.7223 5.1696 Å, 90.00 90.00 90.00°
Last column: nearest neighbours and their distance in Å.
Space group Pmm2 (No. 25)
Unique sites:
1 Be 0.0000 0.0000 0.0000 x1  6 Ir 2.49-2.59, 2 Be 2.71, 4 Tc 2.72
2 Tc 0.5000 0.5000 0.7192 x1  5 Ir 2.40-2.57
3 Ir 0.0000 0.0000 0.4999 x1  4 Tc 2.57, 2 Be 2.58-2.59, 6 Ir 2.71-2.82
4 Ir 0.5000 0.5000 0.1844 x1  1 Tc 2.40, 4 Be 2.49


Record 11
The following is a DFT calculation (SCAN) of a crystal of FeSiOs2 relaxed with PBEsol.

Formation energy without anion corrections, eV per atom: 0.13
N(E_F), states/eV/cell: 5.6

Cell: 5.3094 8.2839 2.6958 Å, 90.00 117.07 90.00°
Last column: nearest neighbours and their distance in Å.
Space group C2/m (No. 12)
Unique sites:
1 Fe 0.0000 0.0000 0.0000 x2  4 Os 2.50, 4 Si 2.65-2.79, 2 Fe 2.70
2 Si 0.0000 0.5000 0.0000 x2  4 Os 2.50, 4 Fe 2.65-2.79, 2 Si 2.70
3 Os 0.2500 0.2500 0.5000 x4  2 Fe 2.50, 2 Si 2.50, 6 Os 2.65-2.79


Record 12
The following is a DFT calculation (SCAN) of a crystal of Cr3SeO relaxed with PBEsol.

Formation energy without anion corrections, eV per atom: -0.19
N(E_F), states/eV/cell: 3.2

Cell: 3.8428 3.8428 3.8428 Å, 90.00 90.00 90.00°
Last column: nearest neighbours and their distance in Å.
Space group Pm-3m (No. 221)
Unique sites:
1 Cr 0.0000 0.0000 0.5000 x3  2 O 1.92
2 Se 0.5000 0.5000 0.5000 x1  12 Cr 2.72
3 O 0.0000 0.0000 0.0000 x1  6 Cr 1.92


Record 13
The following is a DFT calculation (SCAN) of a crystal of RbTiTe2N relaxed with PBEsol.

Formation energy without anion corrections, eV per atom: 1.65
N(E_F), states/eV/cell: 2.4

Cell: 5.9104 5.9104 4.3006 Å, 90.00 90.00 90.00°
Last column: nearest neighbours and their distance in Å.
Space group P4/mmm (No. 123)
Unique sites:
1 Rb 0.0000 0.0000 0.0000 x1  2 N 2.15
2 Ti 0.5000 0.5000 0.5000 x1  8 Te 3.65
3 Te 0.0000 0.5000 0.0000 x2  2 Rb 2.96
4 N 0.0000 0.0000 0.5000 x1  2 Rb 2.15


Record 14
The following is a DFT calculation (SCAN) of a crystal of MnNi2Cl relaxed with PBEsol.

E above lowest polymorph, eV per formula unit: 0.000
Formation energy without anion corrections, eV per atom: 0.03
N(E_F), states/eV/cell: 2.4

Cell: 2.9776 2.9776 5.7255 Å, 90.00 90.00 90.00°
Last column: nearest neighbours and their distance in Å.
Space group P4/mmm (No. 123)
Unique sites:
1 Mn 0.0000 0.0000 0.0000 x1  8 Ni 2.45
2 Ni 0.5000 0.5000 0.2189 x2  4 Mn 2.45, 1 Ni 2.51, 4 Cl 2.65
3 Cl 0.0000 0.0000 0.5000 x1  8 Ni 2.65, 2 Mn 2.86


Record 15
The following is a DFT calculation (SCAN) of a crystal of Ba2CdCu relaxed with PBEsol.

Formation enthalpy at 0 K, eV per atom: 0.068
N(E_F), states/eV/cell: 11.1

Cell: 7.6639 7.6639 7.6639 Å, 90.00 90.00 90.00°
Last column: nearest neighbours and their distance in Å.
Space group F-43m (No. 216)
Unique sites:
1 Ba 0.0000 0.0000 0.0000 x4  4 Ba 3.32, 4 Cu 3.32
2 Ba 0.2500 0.2500 0.2500 x4  4 Cd 3.32, 4 Ba 3.32
3 Cd 0.0000 0.0000 0.5000 x4  4 Ba 3.32, 4 Cu 3.32
4 Cu 0.2500 0.2500 0.7500 x4  4 Cd 3.32, 4 Ba 3.32


Record 16
The following is a DFT calculation (SCAN) of a crystal of K2AlIn relaxed with PBEsol.

E above lowest polymorph, eV per formula unit: 0.456
Formation enthalpy at 0 K, eV per atom: 0.062
N(E_F), states/eV/cell: 5.3

Cell: 3.6986 6.1135 12.1910 Å, 90.00 90.00 90.00°
Last column: nearest neighbours and their distance in Å.
Space group Imm2 (No. 44)
Unique sites:
1 K 0.0000 0.0000 0.0000 x2  2 Al 3.64, 4 In 3.68, 4 K 3.70-3.86
2 K 0.0000 0.5000 0.1930 x2  4 Al 3.66, 4 K 3.70-3.86, 2 In 3.72
3 Al 0.0000 0.5000 0.7574 x2  2 In 2.78
4 In 0.0000 0.0000 0.4281 x2  2 Al 2.78


Record 17
The following is a DFT calculation (SCAN) of a crystal of In2H2Au relaxed with PBEsol.

Calculated total energy, eV/cell: -283.3
N(E_F), states/eV/cell: 2.0

Cell: 3.3508 3.3508 12.8205 Å, 90.00 90.00 90.00°
Last column: nearest neighbours and their distance in Å.
Space group I4/mmm (No. 139)
Unique sites:
1 In 0.0000 0.0000 0.1378 x4  4 H 2.21
2 H 0.0000 0.5000 0.2500 x4  4 In 2.21, 4 H 2.37
3 Au 0.0000 0.0000 0.5000 x2  8 In 2.96


Record 18
The following is a DFT calculation (SCAN) of a crystal of GaFe3Ag relaxed with PBEsol.

E above lowest polymorph, eV per formula unit: 1.943
Formation enthalpy at 0 K, eV per atom: 1.415
N(E_F), states/eV/cell: 5.6

Cell: 4.6090 4.6090 4.6090 Å, 90.00 90.00 90.00°
Last column: nearest neighbours and their distance in Å.
Space group Pm-3m (No. 221)
Unique sites:
1 Ga 0.0000 0.0000 0.0000 x1  12 Fe 3.26
2 Fe 0.0000 0.5000 0.5000 x3  2 Ag 2.30
3 Ag 0.5000 0.5000 0.5000 x1  6 Fe 2.30


Record 19
The following is a DFT calculation (SCAN) of a crystal of K2MgFe relaxed with PBEsol.

E above lowest polymorph, eV per formula unit: 0.921
Formation enthalpy at 0 K, eV per atom: 0.769
N(E_F), states/eV/cell: 16.0

Cell: 7.8875 7.8875 7.8875 Å, 90.00 90.00 90.00°
Last column: nearest neighbours and their distance in Å.
Space group F-43m (No. 216)
Unique sites:
1 K 0.0000 0.0000 0.0000 x4  4 Mg 3.42, 4 K 3.42
2 K 0.2500 0.2500 0.2500 x4  4 Fe 3.42, 4 K 3.42
3 Mg 0.2500 0.2500 0.7500 x4  4 Fe 3.42, 4 K 3.42
4 Fe 0.0000 0.0000 0.5000 x4  4 K 3.42, 4 Mg 3.42


Record 20
The following is a DFT calculation (SCAN) of a crystal of Ca2TeRh relaxed with PBEsol.

Formation energy without anion corrections, eV per atom: -0.85
N(E_F), states/eV/cell: 7.0

Cell: 4.2911 4.2437 10.9295 Å, 90.00 90.00 90.00°
Last column: nearest neighbours and their distance in Å.
Space group Amm2 (No. 38)
Unique sites:
1 Ca 0.0000 0.0000 0.0000 x2  4 Rh 3.11, 3 Te 3.12-3.17
2 Ca 0.5000 0.0000 0.2863 x2  3 Rh 3.07-3.20, 4 Te 3.13
3 Te 0.0000 0.0000 0.7098 x2  2 Rh 2.65
4 Rh 0.5000 0.0000 0.5671 x2  2 Te 2.65